{
  "formula": "Sr2CdTeIr",
  "functional": "PBE",
  "state": "optimized geometry",
  "m_tot_mub_per_atom": 0.0000,
  "formation_energy_uncorrected_ev_per_atom": -0.501,
  "crystal_system": "tetragonal",
  "spacegroup": "No. 123",
  "lattice": [[5.7604, 0.0000, 0.0000], [0.0000, 5.7604, 0.0000], [0.0000, 0.0000, 5.1221]],
  "species": ["Sr", "Sr", "Cd", "Te", "Ir"],
  "frac_coords": [[0.0000, 0.5000, 0.0000], [0.5000, 0.0000, 0.0000], [0.0000, 0.0000, 0.5000], [0.5000, 0.5000, 0.5000], [0.0000, 0.0000, 0.0000]]
}